First-principles (PBE) data for a relaxed structure of Li2AcTlSb2, as listed in Alexandria.

Lattice parameters (Å, degrees): 4.9396 4.9396 7.7725 90.00 90.00 120.00
Element x y z (fractional)
Sb: 0.6667 0.3333 0.7557
Ac: 0.0000 0.0000 0.0000
Li: 0.6667 0.3333 0.3505
Sb: 0.3333 0.6667 0.2443
Li: 0.3333 0.6667 0.6495
Tl: 0.0000 0.0000 0.5000

Formation energy from raw total energies: -0.687 eV/atom
Magnetization: 0.0 Bohr magnetons per cell